## PuScTc (PBE)

Data for a relaxed structure of PuScTc.

The value obtained for the formation enthalpy at 0 K is 0.0020 eV per atom. The value obtained for the density of states at the Fermi level is 9.22 states/eV/cell. The calculation puts the total magnetization at 0.00 μB per formula unit. Its energy relative to the lowest polymorph listed for this composition is 51.8 meV/atom. Its crystal system is tetragonal. The calculated volume comes out at 109.1 Å³ per cell.

The structure belongs to space group P4/nmm (No. 129, origin choice 2); the cell edges are 3.2347, 3.2347 and 10.4240 Å and the angles 90.00°, 90.00° and 90.00°. The asymmetric unit holds Pu at (0.2500, 0.2500, 0.0564), Sc at (0.2500, 0.2500, 0.3783) and Tc at (0.2500, 0.2500, 0.7704).